# 1
Computed, not measured: a relaxed Ba3Sr2Cu crystal at the PBE-GGA level of DFT.

Values from the calculation:
Calculated formation energy = 30 meV/atom
Symmetry = C2/c, No. 15
V = 321.9 Å³/f.u.

```
12
Lattice="11.454 -3.191 0.000 11.454 3.191 0.000 -1.755 0.000 8.807" Properties=species:S:1:pos:R:3 pbc="T T T"
Ba 10.138 3.169 6.605
Ba 8.301 0.000 3.945
Ba 7.423 0.000 8.348
Ba 13.731 0.000 0.459
Ba 12.853 0.000 4.862
Ba 11.016 -3.169 2.202
Sr 4.046 0.000 3.104
Sr 3.169 0.000 7.507
Sr 17.985 0.000 1.299
Sr 17.107 0.000 5.703
Cu 11.016 0.029 2.202
Cu 10.138 -0.029 6.605
```


# 2
Computed, not measured: a relaxed TbLu2Sb crystal at the PBE-GGA level of DFT.

Values from the calculation:
Formation energy from raw total energies = -429 meV/atom
Symmetry = P4/mmm, No. 123
V = 105.7 Å³/f.u.

```
4
Lattice="4.735 0.000 0.000 0.000 4.735 0.000 0.000 0.000 4.715" Properties=species:S:1:pos:R:3 pbc="T T T"
Tb 0.000 0.000 0.000
Lu 0.000 2.367 2.357
Lu 2.367 0.000 2.357
Sb 2.367 2.367 0.000
```


# 3
Computed, not measured: a relaxed Se2S12Cl5 crystal at the PBE-GGA level of DFT.

Values from the calculation:
Formation energy from raw total energies = 94 meV/atom
Symmetry = C2/m, No. 12
V = 602.6 Å³/f.u.

```
19
Lattice="7.133 -3.417 0.000 7.133 3.417 0.000 -6.614 0.000 12.362" Properties=species:S:1:pos:R:3 pbc="T T T"
Se 7.133 2.129 0.000
Se 7.133 -2.129 0.000
S -1.605 1.812 11.057
S 1.314 1.629 6.034
S 2.034 0.000 2.464
S 1.686 0.000 7.223
S 9.257 1.812 1.305
S 6.338 1.629 6.328
S 1.314 -1.629 6.034
S -1.605 -1.812 11.057
S 5.966 0.000 5.139
S 5.618 0.000 9.898
S 6.338 -1.629 6.328
S 9.257 -1.812 1.305
Cl -3.307 0.000 6.181
Cl -5.387 0.000 10.398
Cl 5.946 0.000 1.213
Cl 1.706 0.000 11.149
Cl 13.039 0.000 1.964
```


# 4
Computed, not measured: a relaxed AcH2Rh crystal at the PBE-GGA level of DFT.

Values from the calculation:
Final energy = -4.68 eV per atom
Symmetry = R-3m, No. 166
V = 57.0 Å³/f.u.

```
4
Lattice="1.988 1.148 4.163 -1.988 1.148 4.163 0.000 -2.296 4.163" Properties=species:S:1:pos:R:3 pbc="T T T"
Ac 0.000 0.000 0.000
H 0.000 0.000 2.618
H 0.000 0.000 9.871
Rh 0.000 0.000 6.245
```


# 5
Computed, not measured: a relaxed PrTaB4 crystal at the PBE-GGA level of DFT.

Values from the calculation:
Calculated formation energy = -517 meV/atom
Symmetry = Pbam, No. 55
V = 70.2 Å³/f.u.

```
24
Lattice="6.262 0.000 0.000 0.000 12.128 0.000 0.000 0.000 3.699" Properties=species:S:1:pos:R:3 pbc="T T T"
Pr 0.782 1.833 0.000
Pr 2.349 7.897 0.000
Pr 3.913 4.231 0.000
Pr 5.480 10.295 0.000
Ta 0.827 5.023 0.000
Ta 2.304 11.087 0.000
Ta 3.958 1.042 0.000
Ta 5.435 7.106 0.000
B 0.152 8.384 1.850
B 0.709 6.628 1.850
B 0.852 11.739 1.850
B 1.328 9.858 1.850
B 1.803 3.794 1.850
B 2.279 5.675 1.850
B 2.422 0.564 1.850
B 2.979 2.320 1.850
B 3.283 9.808 1.850
B 3.840 11.564 1.850
B 3.983 6.454 1.850
B 4.459 8.335 1.850
B 4.934 2.270 1.850
B 5.410 0.390 1.850
B 5.553 5.500 1.850
B 6.110 3.744 1.850
```


# 6
Computed, not measured: a relaxed NbCoBi3 crystal at the PBE-GGA level of DFT.

Values from the calculation:
Calculated formation energy = 1065 meV/atom
Symmetry = Pm-3m, No. 221
V = 163.8 Å³/f.u.

```
5
Lattice="5.471 0.000 0.000 0.000 5.471 0.000 0.000 0.000 5.471" Properties=species:S:1:pos:R:3 pbc="T T T"
Nb 0.000 0.000 0.000
Co 2.736 2.736 2.736
Bi 0.000 0.000 2.736
Bi 0.000 2.736 0.000
Bi 2.736 0.000 0.000
```


What is the formula in the second record? TbLu2Sb